Density functional theory data (SCAN) for a PBEsol-optimized structure of Pr2MgSe4.

The volume comes out at 30.10 Å³ per atom. As for the mass density: 4.90 g/cm³. As for the crystal system: cubic. The energy above the most stable polymorph in this dataset is 0.019 eV per atom.

It has space group Fd-3m (No. 227, origin choice 2), with a = 11.901 Å, b = 11.901 Å, c = 11.901 Å, α = 90.00°, β = 90.00° and γ = 90.00°. The asymmetric unit holds Pr at (0.000, 0.000, 0.000), Mg at (0.125, 0.125, 0.625) and Se at (0.002, 0.002, 0.248).


Density functional theory data (SCAN) for a PBEsol-optimized structure of Pr2MgSe4.

The volume comes out at 24.03 Å³ per atom. As for the mass density: 6.14 g/cm³. As for the crystal system: tetragonal. The energy above the most stable polymorph in this dataset is 0.039 eV per atom.

It has space group I-42d (No. 122), with a = 8.607 Å, b = 8.607 Å, c = 9.081 Å, α = 90.00°, β = 90.00° and γ = 90.00°. The asymmetric unit holds Pr at (0.123, 0.750, 0.125), Mg at (0.000, 0.000, 0.500) and Se at (0.071, 0.693, 0.448).


Density functional theory data (SCAN) for a PBEsol-optimized structure of PrMgSi2.

The volume comes out at 20.51 Å³ per atom. As for the mass density: 4.48 g/cm³. As for the crystal system: tetragonal. For the total energy, the calculation gives -564.602 eV/cell.

It has space group I4_1/amd (No. 141, origin choice 2), with a = 4.233 Å, b = 4.233 Å, c = 36.645 Å, α = 90.00°, β = 90.00° and γ = 90.00°. The asymmetric unit holds Pr at (0.000, 0.250, 0.297), Mg at (0.000, 0.250, 0.125), Si at (0.000, 0.250, 0.764) and Si at (0.000, 0.250, 0.827).


Density functional theory data (SCAN) for a PBEsol-optimized structure of Pr2MgSi2.

The volume comes out at 23.55 Å³ per atom. As for the mass density: 5.11 g/cm³. As for the crystal system: tetragonal. For the total energy, the calculation gives -230.330 eV/cell.

It has space group P4/mbm (No. 127), with a = 7.374 Å, b = 7.374 Å, c = 4.331 Å, α = 90.00°, β = 90.00° and γ = 90.00°. The asymmetric unit holds Pr at (0.180, 0.320, 0.000), Mg at (0.000, 0.000, 0.500) and Si at (0.115, 0.615, 0.500).


Density functional theory data (SCAN) for a PBEsol-optimized structure of PrSmMg2.

The volume comes out at 27.98 Å³ per atom. As for the mass density: 5.04 g/cm³. As for the formation energy: -0.12 eV/atom. As for the crystal system: cubic.

It has space group Fm-3m (No. 225), with a = 7.650 Å, b = 7.650 Å, c = 7.650 Å, α = 90.00°, β = 90.00° and γ = 90.00°. The asymmetric unit holds Pr at (0.000, 0.000, 0.000), Sm at (0.000, 0.000, 0.500) and Mg at (0.250, 0.250, 0.250).


Density functional theory data (SCAN) for a PBEsol-optimized structure of PrMgTl.

The volume comes out at 26.77 Å³ per atom. As for the mass density: 7.64 g/cm³. As for the formation energy: -0.59 eV/atom. As for the crystal system: hexagonal.

It has space group P-62m (No. 189), with a = 7.6739 Å, b = 7.6739 Å, c = 4.7247 Å, α = 90.00°, β = 90.00° and γ = 120.00°. The asymmetric unit holds Pr at (0.0000, 0.4265, 0.0000), Mg at (0.0000, 0.7572, 0.5000), Tl at (0.0000, 0.0000, 0.0000) and Tl at (0.3333, 0.6667, 0.5000).


Density functional theory data (SCAN) for a PBEsol-optimized structure of PrMgTl2.

The volume comes out at 26.22 Å³ per atom. As for the mass density: 9.09 g/cm³. As for the formation energy: -0.44 eV/atom. As for the crystal system: cubic.

It has space group Fm-3m (No. 225), with a = 7.486 Å, b = 7.486 Å, c = 7.486 Å, α = 90.00°, β = 90.00° and γ = 90.00°. The asymmetric unit holds Pr at (0.000, 0.000, 0.000), Mg at (0.000, 0.000, 0.500) and Tl at (0.250, 0.250, 0.250).


Density functional theory data (SCAN) for a PBEsol-optimized structure of Pr2MgTl.

The volume comes out at 28.67 Å³ per atom. As for the mass density: 7.39 g/cm³. As for the formation energy: -0.39 eV/atom. As for the crystal system: cubic.

It has space group Fm-3m (No. 225), with a = 7.712 Å, b = 7.712 Å, c = 7.712 Å, α = 90.00°, β = 90.00° and γ = 90.00°. The asymmetric unit holds Pr at (0.250, 0.250, 0.250), Mg at (0.000, 0.000, 0.000) and Tl at (0.000, 0.000, 0.500).


Density functional theory data (SCAN) for a PBEsol-optimized structure of PrYMg2.

The volume comes out at 27.54 Å³ per atom. As for the mass density: 4.20 g/cm³. As for the formation energy: -0.13 eV/atom. As for the crystal system: cubic. The energy above the most stable polymorph in this dataset is 0.000 eV per atom.

It has space group Fm-3m (No. 225), with a = 7.610 Å, b = 7.610 Å, c = 7.610 Å, α = 90.00°, β = 90.00° and γ = 90.00°. The asymmetric unit holds Pr at (0.000, 0.000, 0.000), Y at (0.000, 0.000, 0.500) and Mg at (0.250, 0.250, 0.250).


Density functional theory data (SCAN) for a PBEsol-optimized structure of PrYMg4.

The volume comes out at 25.95 Å³ per atom. As for the mass density: 3.49 g/cm³. As for the formation energy: -0.11 eV/atom. As for the crystal system: cubic.

It has space group F-43m (No. 216), with a = 8.540 Å, b = 8.540 Å, c = 8.540 Å, α = 90.00°, β = 90.00° and γ = 90.00°. The asymmetric unit holds Pr at (0.000, 0.000, 0.000), Y at (0.250, 0.250, 0.750) and Mg at (0.125, 0.125, 0.375).


Density functional theory data (SCAN) for a PBEsol-optimized structure of PrYMg2.

The volume comes out at 27.54 Å³ per atom. As for the mass density: 4.20 g/cm³. As for the formation energy: -0.12 eV/atom. As for the crystal system: tetragonal. The energy above the most stable polymorph in this dataset is 0.004 eV per atom.

It has space group P4/mmm (No. 123), with a = 3.801 Å, b = 3.801 Å, c = 7.624 Å, α = 90.00°, β = 90.00° and γ = 90.00°. The asymmetric unit holds Pr at (0.000, 0.000, 0.000), Y at (0.000, 0.000, 0.500) and Mg at (0.500, 0.500, 0.259).


Density functional theory data (SCAN) for a PBEsol-optimized structure of Mg5Pt.

The volume comes out at 19.06 Å³ per atom. As for the mass density: 4.60 g/cm³. As for the formation energy: -0.40 eV/atom. As for the crystal system: orthorhombic.

It has space group Cmmm (No. 65), with a = 4.255 Å, b = 12.473 Å, c = 4.309 Å, α = 90.00°, β = 90.00° and γ = 90.00°. The asymmetric unit holds Mg at (0.000, 0.000, 0.000), Mg at (0.000, 0.151, 0.500), Mg at (0.000, 0.344, 0.000) and Pt at (0.000, 0.500, 0.500).


Density functional theory data (SCAN) for a PBEsol-optimized structure of Mg3Pt.

The volume comes out at 17.52 Å³ per atom. As for the mass density: 6.35 g/cm³. As for the formation energy: -0.62 eV/atom. As for the crystal system: hexagonal.

It has space group P6_3/mmc (No. 194), with a = 5.8576 Å, b = 5.8576 Å, c = 14.1532 Å, α = 90.00°, β = 90.00° and γ = 120.00°. The asymmetric unit holds Mg at (0.0157, 0.5079, 0.2500), Mg at (0.1663, 0.3325, 0.5842), Pt at (0.0000, 0.0000, 0.2500) and Pt at (0.3333, 0.6667, 0.0832).


Density functional theory data (SCAN) for a PBEsol-optimized structure of Mg3Pt.

The volume comes out at 19.42 Å³ per atom. As for the mass density: 5.73 g/cm³. As for the formation energy: -0.74 eV/atom. As for the crystal system: orthorhombic.

It has space group Pnma (No. 62), with a = 7.434 Å, b = 8.156 Å, c = 5.125 Å, α = 90.00°, β = 90.00° and γ = 90.00°. The asymmetric unit holds Mg at (0.021, 0.250, 0.088), Mg at (0.168, 0.062, 0.607) and Pt at (0.132, 0.750, 0.425).


Density functional theory data (SCAN) for a PBEsol-optimized structure of Mg3Pt.

The volume comes out at 17.57 Å³ per atom. As for the mass density: 6.33 g/cm³. As for the formation energy: -0.65 eV/atom. As for the crystal system: orthorhombic.

It has space group Cmcm (No. 63), with a = 5.878 Å, b = 10.203 Å, c = 4.688 Å, α = 90.00°, β = 90.00° and γ = 90.00°. The asymmetric unit holds Mg at (0.000, 0.174, 0.250), Mg at (0.239, 0.413, 0.250) and Pt at (0.000, 0.333, 0.750).


Density functional theory data (SCAN) for a PBEsol-optimized structure of MgPt7.

The volume comes out at 14.99 Å³ per atom. As for the mass density: 19.25 g/cm³. As for the formation energy: -0.35 eV/atom. As for the crystal system: cubic.

It has space group Fm-3m (No. 225), with a = 7.827 Å, b = 7.827 Å, c = 7.827 Å, α = 90.00°, β = 90.00° and γ = 90.00°. The asymmetric unit holds Mg at (0.000, 0.000, 0.000), Pt at (0.000, 0.000, 0.500) and Pt at (0.000, 0.250, 0.250).


Density functional theory data (SCAN) for a PBEsol-optimized structure of MgPt.

The volume comes out at 16.53 Å³ per atom. As for the mass density: 11.02 g/cm³. As for the formation energy: -0.35 eV/atom. As for the crystal system: trigonal.

It has space group P-3m1 (No. 164), with a = 2.8953 Å, b = 2.8953 Å, c = 9.1076 Å, α = 90.00°, β = 90.00° and γ = 120.00°. The asymmetric unit holds Mg at (0.3333, 0.6667, 0.3526) and Pt at (0.3333, 0.6667, 0.8732).


Density functional theory data (SCAN) for a PBEsol-optimized structure of Mg3Pt.

The volume comes out at 18.68 Å³ per atom. As for the mass density: 5.96 g/cm³. As for the formation energy: -0.75 eV/atom. As for the crystal system: hexagonal.

It has space group P6_3cm (No. 185), with a = 7.8898 Å, b = 7.8898 Å, c = 8.3146 Å, α = 90.00°, β = 90.00° and γ = 120.00°. The asymmetric unit holds Mg at (0.0000, 0.0000, 0.0000), Mg at (0.0000, 0.2832, 0.2394), Mg at (0.0000, 0.3745, 0.8961), Mg at (0.3333, 0.6667, 0.1124) and Pt at (0.0000, 0.3275, 0.5679).


Density functional theory data (SCAN) for a PBEsol-optimized structure of Mg5Pt.

The volume comes out at 19.45 Å³ per atom. As for the mass density: 4.50 g/cm³. As for the formation energy: -0.40 eV/atom. As for the crystal system: monoclinic.

It has space group C2/m (No. 12), with a = 10.319 Å, b = 3.453 Å, c = 6.969 Å, α = 90.00°, β = 109.96° and γ = 90.00°. The asymmetric unit holds Mg at (0.000, 0.000, 0.000), Mg at (0.147, 0.500, 0.355), Mg at (0.162, 0.500, 0.800) and Pt at (0.000, 0.000, 0.500).


Density functional theory data (SCAN) for a PBEsol-optimized structure of Mg3Pt2.

The volume comes out at 18.25 Å³ per atom. As for the mass density: 8.43 g/cm³. As for the formation energy: -0.86 eV/atom. As for the crystal system: trigonal.

It has space group P-3m1 (No. 164), with a = 4.4343 Å, b = 4.4343 Å, c = 5.3589 Å, α = 90.00°, β = 90.00° and γ = 120.00°. The asymmetric unit holds Mg at (0.0000, 0.0000, 0.0000), Mg at (0.3333, 0.6667, 0.3518) and Pt at (0.3333, 0.6667, 0.8509).


Density functional theory data (SCAN) for a PBEsol-optimized structure of Mg3Pt.

The volume comes out at 17.56 Å³ per atom. As for the mass density: 6.33 g/cm³. As for the formation energy: -0.42 eV/atom. As for the crystal system: trigonal.

It has space group R-3m (No. 166, hexagonal axes), with a = 9.1640 Å, b = 9.1640 Å, c = 2.8979 Å, α = 90.00°, β = 90.00° and γ = 120.00°. The asymmetric unit holds Mg at (0.0000, 0.5000, 0.0000) and Pt at (0.0000, 0.0000, 0.0000).


Density functional theory data (SCAN) for a PBEsol-optimized structure of Mg5Pt.

The volume comes out at 20.81 Å³ per atom. As for the mass density: 4.21 g/cm³. As for the formation energy: 0.18 eV/atom. As for the crystal system: hexagonal.

It has space group P6/mmm (No. 191), with a = 5.3537 Å, b = 5.3537 Å, c = 5.0307 Å, α = 90.00°, β = 90.00° and γ = 120.00°. The asymmetric unit holds Mg at (0.0000, 0.5000, 0.0000), Mg at (0.3333, 0.6667, 0.5000) and Pt at (0.0000, 0.0000, 0.5000).


Density functional theory data (SCAN) for a PBEsol-optimized structure of MgPt.

The volume comes out at 22.12 Å³ per atom. As for the mass density: 8.23 g/cm³. As for the formation energy: -0.17 eV/atom. As for the crystal system: hexagonal.

It has space group P6_3/mmc (No. 194), with a = 4.4488 Å, b = 4.4488 Å, c = 5.1622 Å, α = 90.00°, β = 90.00° and γ = 120.00°. The asymmetric unit holds Mg at (0.3333, 0.6667, 0.2500) and Pt at (0.3333, 0.6667, 0.7500).


Density functional theory data (SCAN) for a PBEsol-optimized structure of Mg5Pt.

The volume comes out at 20.11 Å³ per atom. As for the mass density: 4.36 g/cm³. As for the formation energy: -0.35 eV/atom. As for the crystal system: tetragonal.

It has space group P4/mmm (No. 123), with a = 3.160 Å, b = 3.160 Å, c = 12.079 Å, α = 90.00°, β = 90.00° and γ = 90.00°. The asymmetric unit holds Mg at (0.000, 0.000, 0.000), Mg at (0.000, 0.000, 0.373), Mg at (0.500, 0.500, 0.184) and Pt at (0.500, 0.500, 0.500).